# 1
# Sc2IrCl

An optimized crystal structure of Sc2IrCl (GGA-PBEsol, the Alexandria database).

The space group is R-3m (No. 166, hexagonal axes) and the conventional cell measures 3.0134, 3.0134 and 27.0404 Å, with angles of 90.00, 90.00 and 120.00 degrees. The distinct sites, in fractional coordinates, are Sc at (0.0000, 0.0000, 0.0900), Ir at (0.0000, 0.0000, 0.0000) and Cl at (0.0000, 0.0000, 0.5000).

The calculation puts the total energy at -26.55 eV/f.u. Its energy relative to the elements, uncorrected is -378 meV per atom.

# 2
# Sc2IrCl

An optimized crystal structure of Sc2IrCl (GGA-PBEsol, the Alexandria database).

The space group is C2/m (No. 12) and the conventional cell measures 6.363, 3.677 and 7.192 Å, with angles of 90.00, 107.09 and 90.00 degrees. The distinct sites, in fractional coordinates, are Sc at (0.236, 0.000, 0.210), Ir at (0.000, 0.500, 0.000) and Cl at (0.000, 0.000, 0.500).

The calculation puts the total energy at -29.22 eV/f.u. Its energy relative to the elements, uncorrected is -1045 meV per atom.

# 3
# ScIr2Cl

An optimized crystal structure of ScIr2Cl (GGA-PBEsol, the Alexandria database).

The space group is P2/m (No. 10) and the conventional cell measures 2.855, 4.928 and 4.470 Å, with angles of 90.00, 90.95 and 90.00 degrees. The distinct sites, in fractional coordinates, are Sc at (0.000, 0.000, 0.000), Ir at (0.251, 0.500, 0.749) and Cl at (0.500, 0.000, 0.500).

The calculation puts the total energy at -29.09 eV/f.u. Its energy relative to the elements, uncorrected is -208 meV per atom.

# 4
# ScIr3Cl

An optimized crystal structure of ScIr3Cl (GGA-PBEsol, the Alexandria database).

The space group is Pm-3m (No. 221) and the conventional cell measures 4.730, 4.730 and 4.730 Å, with angles of 90.00, 90.00 and 90.00 degrees. The distinct sites, in fractional coordinates, are Sc at (0.000, 0.000, 0.000), Ir at (0.000, 0.000, 0.500) and Cl at (0.500, 0.500, 0.500).

The calculation puts the total energy at -27.85 eV/f.u. Its energy relative to the elements, uncorrected is 2046 meV per atom.

# 5
# ScIr2Cl

An optimized crystal structure of ScIr2Cl (GGA-PBEsol, the Alexandria database).

The space group is Pmm2 (No. 25) and the conventional cell measures 2.931, 3.722 and 7.086 Å, with angles of 90.00, 90.00 and 90.00 degrees. The distinct sites, in fractional coordinates, are Sc at (0.000, 0.000, 0.000), Ir at (0.000, 0.000, 0.633), Ir at (0.500, 0.500, 0.749) and Cl at (0.500, 0.500, 0.203).

The calculation puts the total energy at -29.60 eV/f.u. Its energy relative to the elements, uncorrected is -335 meV per atom.

# 6
# ScIr2Cl

An optimized crystal structure of ScIr2Cl (GGA-PBEsol, the Alexandria database).

The space group is F-43m (No. 216) and the conventional cell measures 6.335, 6.335 and 6.335 Å, with angles of 90.00, 90.00 and 90.00 degrees. The distinct sites, in fractional coordinates, are Sc at (0.000, 0.000, 0.000), Ir at (0.000, 0.000, 0.500), Ir at (0.250, 0.250, 0.250) and Cl at (0.250, 0.250, 0.750).

The calculation puts the total energy at -27.76 eV/f.u. Its energy relative to the elements, uncorrected is 126 meV per atom.

# 7
# Sc2IrCl

An optimized crystal structure of Sc2IrCl (GGA-PBEsol, the Alexandria database).

The space group is Amm2 (No. 38) and the conventional cell measures 4.537, 3.070 and 10.072 Å, with angles of 90.00, 90.00 and 90.00 degrees. The distinct sites, in fractional coordinates, are Sc at (0.000, 0.000, 0.000), Sc at (0.500, 0.000, 0.252), Ir at (0.000, 0.000, 0.738) and Cl at (0.500, 0.000, 0.507).

The calculation puts the total energy at -28.64 eV/f.u. Its energy relative to the elements, uncorrected is -899 meV per atom.

# 8
# Sc2IrCl

An optimized crystal structure of Sc2IrCl (GGA-PBEsol, the Alexandria database).

The space group is I-4m2 (No. 119) and the conventional cell measures 3.666, 3.666 and 10.544 Å, with angles of 90.00, 90.00 and 90.00 degrees. The distinct sites, in fractional coordinates, are Sc at (0.000, 0.000, 0.000), Sc at (0.000, 0.500, 0.250), Ir at (0.000, 0.500, 0.750) and Cl at (0.000, 0.000, 0.500).

The calculation puts the total energy at -27.52 eV/f.u. Its energy relative to the elements, uncorrected is -620 meV per atom.